Record 1
Material: HfMnNb2
Method: DFT, PBE
State: relaxed

Structure (extended XYZ):
```
4
Lattice="-1.609 2.264 4.704 1.609 -2.264 4.704 1.609 2.264 -4.704" Properties=species:S:1:pos:R:3 pbc="T T T"
Hf 0.000 0.000 0.000
Mn 0.000 0.000 4.704
Nb 1.609 0.000 2.525
Nb 0.000 2.264 2.179
```

Output
Energy of formation from the pure elements (eV per atom): -0.057
Magnetic moment (μB/atom): 0.0000
Total DFT energy (no corrections) (eV/atom): -9.873
Relative energy among the computed polymorphs (meV per atom): 0

***

Record 2
Material: HfMn9Nb2
Method: DFT, PBE
State: relaxed

Structure (extended XYZ):
```
12
Lattice="2.389 1.379 7.917 -2.389 1.379 7.917 0.000 -2.759 7.917" Properties=species:S:1:pos:R:3 pbc="T T T"
Hf 0.000 0.000 0.000
Mn -1.234 -0.712 9.909
Mn 0.000 0.000 8.029
Mn 0.000 -1.425 13.843
Mn -1.234 0.712 13.843
Mn 0.000 0.000 11.876
Mn 1.234 -0.712 9.909
Mn 0.000 1.425 9.909
Mn 0.000 0.000 15.723
Mn 1.234 0.712 13.843
Nb 0.000 0.000 3.339
Nb 0.000 0.000 20.413
```

Output
Energy of formation from the pure elements (eV per atom): -0.109
Magnetic moment (μB/atom): 0.1590
Total DFT energy (no corrections) (eV/atom): -9.494